(1)
Material: CeCoC
Method: DFT, PBE
State: optimized geometry

Computed properties:
ΔE to the lowest computed polymorph in meV/atom: 69.0
Space-group type: No. 187
Formation energy from the elements in eV/atom: -0.113

abc: 3.8199 3.5434 3.5434
angles: 120.00 90.00 90.00
Positions (direct):
C 0.1669 0.0000 0.0000
Co 0.1665 0.3333 0.6667
Ce 0.6665 0.6667 0.3333

=====

(2)
Material: Ba6AsPd2
Method: DFT, PBE
State: optimized geometry

Computed properties:
Space-group type: No. 12
Formation energy from the elements in eV/atom: -0.549

abc: 4.6766 9.1565 11.2021
angles: 104.51 90.00 104.80
Positions (direct):
Ba 0.2975 0.5949 0.8703
Ba 0.7025 0.4051 0.1297
Ba 0.9607 0.9215 0.1987
Ba 0.6311 0.2623 0.5412
Ba 0.0392 0.0785 0.8013
Ba 0.3689 0.7377 0.4588
As 0.0000 0.0000 0.5000
Pd 0.6687 0.3374 0.8362
Pd 0.3313 0.6626 0.1638

=====

(3)
Material: TaBeIn2
Method: DFT, PBE
State: optimized geometry

Computed properties:
Space-group type: No. 123
Formation energy from the elements in eV/atom: 0.509

abc: 2.9279 2.9279 8.6318
angles: 90.00 90.00 90.00
Positions (direct):
Be 0.5000 0.5000 0.7500
In 0.0000 0.0000 0.9800
In 0.0000 0.0000 0.5200
Ta 0.5000 0.5000 0.2500

=====

(4)
Material: LiPm6Pb6
Method: DFT, PBE
State: optimized geometry

Computed properties:
Space-group type: No. 191
Formation energy from the elements in eV/atom: -0.363

abc: 6.6871 6.6871 10.6224
angles: 90.00 90.00 120.00
Each line ends with the local moment (μB).
Positions (direct):
Li 0.0000 0.0000 0.0000  0.00
Pm 0.0000 0.0000 0.6714  0.21
Pm 0.0000 0.0000 0.3286  0.21
Pm 0.3333 0.6667 0.0000  -0.01
Pm 0.6667 0.3333 0.0000  -0.01
Pm 0.3333 0.6667 0.5000  0.05
Pm 0.6667 0.3333 0.5000  0.05
Pb 0.0000 0.5000 0.7529  0.00
Pb 0.5000 0.0000 0.7529  0.00
Pb 0.5000 0.5000 0.7529  0.00
Pb 0.5000 0.0000 0.2471  0.00
Pb 0.0000 0.5000 0.2471  0.00
Pb 0.5000 0.5000 0.2471  0.00

=====

(5)
Material: CaCeGaCu
Method: DFT, PBE
State: optimized geometry

Computed properties:
Space-group type: No. 216
Formation energy from the elements in eV/atom: -0.261

abc: 5.0908 5.0908 5.0908
angles: 60.00 60.00 60.00
Each line ends with the local moment (μB).
Positions (direct):
Ca 0.0000 0.0000 0.0000  0.00
Cu 0.2500 0.2500 0.2500  -0.01
Ga 0.7500 0.7500 0.7500  -0.01
Ce 0.5000 0.5000 0.5000  0.46

=====

(6)
Material: Ba2Zn2SnO6
Method: DFT, PBE
State: optimized geometry

Computed properties:
Raw formation energy in kJ per mole of atoms: -182
Space-group type: No. 166

abc: 6.0335 6.0335 6.5813
angles: 62.72 62.72 60.00
Positions (direct):
Ba 0.7845 0.7845 0.6464
Ba 0.2155 0.2155 0.3536
Zn 0.4122 0.4122 0.7634
Zn 0.5878 0.5878 0.2366
Sn 0.0000 0.0000 0.0000
O 0.7653 0.7653 0.2443
O 0.2251 0.7653 0.2443
O 0.7653 0.2251 0.2443
O 0.2347 0.7749 0.7557
O 0.7749 0.2347 0.7557
O 0.2347 0.2347 0.7557

=====

Values for density, g cm⁻³, ordered as above
8.4, 4.1, 9.4, 8.6, 5.6, 5.9